## Ba2ZrF8 (PBEsol)

Data for a relaxed Ba2ZrF8 crystal.

Cell lengths 9.692, 5.584, 11.856 Å; angles 90.00, 90.00, 90.00 degrees
Positions (direct):
Ba1 0.053 0.250 0.160
Ba2 0.138 0.250 0.559
Ba3 0.362 0.750 0.059
Ba4 0.447 0.750 0.660
Ba5 0.553 0.250 0.340
Ba6 0.638 0.250 0.941
Ba7 0.862 0.750 0.441
Ba8 0.947 0.750 0.840
Zr1 0.242 0.750 0.359
Zr2 0.258 0.250 0.859
Zr3 0.742 0.750 0.141
Zr4 0.758 0.250 0.641
F1 0.091 0.012 0.362
F2 0.091 0.488 0.362
F3 0.136 0.750 0.192
F4 0.144 0.015 0.963
F5 0.144 0.485 0.963
F6 0.146 0.750 0.525
F7 0.157 0.010 0.755
F8 0.157 0.490 0.755
F9 0.343 0.510 0.255
F10 0.343 0.990 0.255
F11 0.354 0.250 0.025
F12 0.356 0.515 0.463
F13 0.356 0.985 0.463
F14 0.364 0.250 0.692
F15 0.409 0.512 0.862
F16 0.409 0.988 0.862
F17 0.591 0.012 0.138
F18 0.591 0.488 0.138
F19 0.636 0.750 0.308
F20 0.644 0.015 0.537
F21 0.644 0.485 0.537
F22 0.646 0.750 0.975
F23 0.657 0.010 0.745
F24 0.657 0.490 0.745
F25 0.843 0.510 0.245
F26 0.843 0.990 0.245
F27 0.854 0.250 0.475
F28 0.856 0.515 0.037
F29 0.856 0.985 0.037
F30 0.864 0.250 0.808
F31 0.909 0.512 0.638
F32 0.909 0.988 0.638

Summary:
Uncorrected formation energy = -3909 meV/atom
Size of the total moment = 0.01 μB per atom
Fermi-level density of states = 0.00 states/eV per cell